AgTe2As | GGA-PBE | optimized geometry

Computed properties:
**Volume**: 29.0 Å³/atom
**Magnetic moment**: 0.000 μB per atom
**Energy relative to the elements, uncorrected**: -0.0059 eV/atom

Unit cell a=5.6147 b=8.7185 c=4.7405 alpha=90.00 beta=90.00 gamma=90.00
Atoms (fractional coordinates):
Ag (0.0000, 0.1242, 0.0000)
Ag (0.5000, 0.8758, 0.5000)
Te (0.0000, 0.3842, 0.6238)
Te (0.0000, 0.8558, 0.6659)
Te (0.5000, 0.1442, 0.1659)
Te (0.5000, 0.6158, 0.1238)
As (0.0000, 0.6159, 0.0089)
As (0.5000, 0.3841, 0.5089)



Mg6GaPb | GGA-PBE | optimized geometry

Computed properties:
**Volume**: 22.3 Å³/atom
**ΔE_f**: -0.509 eV/f.u.
**Magnetic moment**: 0.000 μB per atom

Unit cell a=4.4734 b=4.4734 c=8.9102 alpha=90.00 beta=90.00 gamma=90.00
Atoms (fractional coordinates):
Mg (0.0000, 0.0000, 0.0000)
Mg (0.0000, 0.0000, 0.5000)
Mg (0.0000, 0.5000, 0.2352)
Mg (0.0000, 0.5000, 0.7648)
Mg (0.5000, 0.0000, 0.2352)
Mg (0.5000, 0.0000, 0.7648)
Ga (0.5000, 0.5000, 0.0000)
Pb (0.5000, 0.5000, 0.5000)